Density functional theory data (PBE) for a relaxed PrNd2Br6 crystal.

Lattice parameters (Å, degrees): 9.1330 9.1330 6.8294 99.30 99.30 32.13
Fractional positions:
Pr 0.0000 0.0000 0.0000
Nd 0.3033 0.3033 0.3970
Nd 0.6967 0.6967 0.6030
Br 0.1214 0.1214 0.3728
Br 0.2606 0.2606 0.8002
Br 0.4456 0.4456 0.1982
Br 0.5544 0.5544 0.8018
Br 0.7394 0.7394 0.1998
Br 0.8786 0.8786 0.6272

Density functional theory data (PBE) for a relaxed Tb5NiTe4 crystal.

Lattice parameters (Å, degrees): 7.4781 7.4781 7.4781 99.67 99.67 131.61
Fractional positions:
Tb 0.0000 0.0000 0.0000
Tb 0.2393 0.4060 0.6453
Tb 0.4060 0.7607 0.1667
Tb 0.5940 0.2393 0.8333
Tb 0.7607 0.5940 0.3547
Ni 0.5000 0.5000 0.0000
Te 0.0860 0.6903 0.7763
Te 0.3097 0.0860 0.3957
Te 0.6903 0.9140 0.6043
Te 0.9140 0.3097 0.2237

| no. | raw formation energy (eV/atom) |
| --- | --- |
| 1 | -1.53 |
| 2 | -1.13 |